No. 1
This record from the Alexandria database describes crystalline HPdRu2Pt at its relaxed geometry. The functional is PBE-GGA.

Lattice parameters (Å, degrees): 3.9296 3.9296 3.9537 90.00 90.00 90.00
Closest atoms and distances in Å follow each position.
Positions (direct):
Ru: 0.0000 0.5000 0.0000  2 H 1.96
Ru: 0.5000 0.0000 0.0000  2 H 1.96
Pd: 0.0000 0.0000 0.5000  2 H 1.98
Pt: 0.5000 0.5000 0.5000  4 Pd 2.78, 8 Ru 2.79
H: 0.0000 0.0000 0.0000  4 Ru 1.96, 2 Pd 1.98

Results
* total magnetization: 0.0 Bohr magnetons per cell
* space-group type: P4/mmm, No. 123
* total energy: -6.4583 eV/atom

=====

No. 2
This record from the Alexandria database describes crystalline KCeIO5 at its relaxed geometry. The functional is PBE-GGA.

Lattice parameters (Å, degrees): 6.3323 6.3323 8.7104 108.26 108.26 99.73
Closest atoms and distances in Å follow each position.
Positions (direct):
K: 0.3250 0.6750 0.2500  7 O 2.71-3.02
K: 0.6750 0.3250 0.7500  7 O 2.71-3.02
Ce: 0.0000 0.0000 0.5000  6 O 2.18-2.42
Ce: 0.0000 0.0000 0.0000  6 O 2.18-2.42
I: 0.7179 0.2821 0.2500  4 O 1.86-2.06
I: 0.2821 0.7179 0.7500  4 O 1.86-2.06
O: 0.0150 0.9850 0.2500  2 Ce 2.18
O: 0.9850 0.0150 0.7500  2 Ce 2.18
O: 0.8580 0.3067 0.0700  1 I 2.06, 1 Ce 2.27
O: 0.1420 0.6933 0.9300  1 I 2.06, 1 Ce 2.27
O: 0.6933 0.1420 0.4300  1 I 2.06, 1 Ce 2.27
O: 0.3067 0.8580 0.5700  1 I 2.06, 1 Ce 2.27
O: 0.7696 0.5962 0.3782  1 I 1.86
O: 0.2304 0.4038 0.6218  1 I 1.86
O: 0.4038 0.2304 0.1218  1 I 1.86
O: 0.5962 0.7696 0.8782  1 I 1.86

Results
* raw formation energy: -1.692 eV/atom
* total magnetization: 0.0 Bohr magnetons per cell
* space-group type: C2/c, No. 15
* total energy: -5.8636 eV/atom

=====

No. 3
This record from the Alexandria database describes crystalline NpAgRh at its relaxed geometry. The functional is PBE-GGA.

Lattice parameters (Å, degrees): 3.1515 7.1422 7.2597 79.58 64.28 48.49
Closest atoms and distances in Å follow each position.
Positions (direct):
Ag: 0.5005 0.7061 0.9405  4 Rh 2.87-2.90, 5 Ag 2.91-3.15
Ag: 0.4995 0.2939 0.0595  4 Rh 2.87-2.90, 5 Ag 2.91-3.15
Np: 0.9053 0.3521 0.5668  2 Np 2.49, 2 Rh 2.63
Np: 0.0947 0.6479 0.4332  2 Np 2.49, 2 Rh 2.63
Rh: 0.7205 0.0369 0.7240  2 Np 2.63, 4 Ag 2.87-2.90, 1 Rh 2.89
Rh: 0.2795 0.9631 0.2760  2 Np 2.63, 4 Ag 2.87-2.90, 1 Rh 2.89

Results
* ΔE_f: -27 kJ/mol of formula units
* total magnetization: 1.6 Bohr magnetons per cell
* space-group type: C2/m, No. 12
* total energy: -7.8084 eV/atom

=====

No. 4
This record from the Alexandria database describes crystalline TbPr5Tl4 at its relaxed geometry. The functional is PBE-GGA.

Lattice parameters (Å, degrees): 3.7104 3.7104 22.7160 90.00 90.00 90.00
Closest atoms and distances in Å follow each position.
Positions (direct):
Tb: 0.0000 0.0000 0.0000  8 Pr 3.67, 4 Tb 3.71
Pr: 0.5000 0.5000 0.1129  4 Tl 3.42, 4 Tb 3.67, 4 Pr 3.71
Pr: 0.5000 0.5000 0.3060  8 Tl 3.42-3.43, 4 Pr 3.71
Pr: 0.5000 0.5000 0.5000  8 Tl 3.43, 4 Pr 3.71
Pr: 0.5000 0.5000 0.6940  8 Tl 3.42-3.43, 4 Pr 3.71
Pr: 0.5000 0.5000 0.8871  4 Tl 3.42, 4 Tb 3.67, 4 Pr 3.71
Tl: 0.0000 0.0000 0.2091  8 Pr 3.42, 4 Tl 3.71
Tl: 0.0000 0.0000 0.4029  8 Pr 3.43, 4 Tl 3.71
Tl: 0.0000 0.0000 0.5971  8 Pr 3.43, 4 Tl 3.71
Tl: 0.0000 0.0000 0.7909  8 Pr 3.42, 4 Tl 3.71

Results
* excess energy over the best structure of this formula in the dataset: 0 meV/atom
* ΔE_f: -284 kJ/mol of formula units
* total magnetization: 0.0 Bohr magnetons per cell
* space-group type: P4/mmm, No. 123
* total energy: -4.0940 eV/atom